Ti3TeC | PBE | optimized geometry

Calculated values
Energy relative to the lowest polymorph listed for this composition = 27.1 kJ per mole of atoms
Raw formation energy = -0.401 eV/atom
Total moment = 1.6 μB per formula unit
Space group = No. 221
Fermi-level density of states = 7.4 states/eV/f.u.

a b c (Å): 4.263 4.263 4.263
angles (deg): 90.00 90.00 90.00
Last column: magnetic moment on the atom in μB.
Element x y z (fractional)
Ti: 0.500 0.000 0.000  0.39
C: 0.000 0.000 0.000  0.00
Te: 0.500 0.500 0.500  0.00
Ti: 0.000 0.500 0.000  0.42
Ti: 0.000 0.000 0.500  0.45